A plane-wave DFT calculation with PBE+U was carried out for a geometry-optimized MgCr2IrF structure.

Results
DOS(E_F)   2.40 states/eV/f.u.
Energy   -28.62 eV per cell

The structure in CIF format:
```
data_MgCr2IrF
_chemical_formula_sum 'Mg1 Cr2 Ir1 F1'
_cell_length_a 4.335
_cell_length_b 4.083
_cell_length_c 4.335
_cell_angle_alpha 90.00
_cell_angle_beta 90.00
_cell_angle_gamma 90.00
_symmetry_space_group_name_H-M 'P 1'
_symmetry_Int_Tables_number 1
loop_
_symmetry_equiv_pos_as_xyz
'x,y,z'
loop_
_atom_site_label
_atom_site_type_symbol
_atom_site_fract_x
_atom_site_fract_y
_atom_site_fract_z
Ir1 Ir 0.500 0.500 0.500
Cr1 Cr 0.000 0.000 0.500
F1 F 0.000 0.000 0.000
Cr2 Cr 0.500 0.000 0.000
Mg1 Mg 0.000 0.500 0.000
```